Entry 1:
Material: KTeNF2
Method: DFT, PBE
State: optimized geometry

The value obtained for the formation energy (no corrections) is -1.032 eV/atom. The calculated volume is 92.7 Å³ per cell. The space group is P4/mmm (123). As for the magnetic moment: 0.0 μB/cell.

Structure (CIF):
```
data_KTeNF2
_cell_length_a 4.765
_cell_length_b 4.765
_cell_length_c 4.081
_cell_angle_alpha 90.00
_cell_angle_beta 90.00
_cell_angle_gamma 90.00
_space_group_name_H-M_alt 'P 1'
_space_group_IT_number 1
loop_
_space_group_symop_operation_xyz
'x,y,z'
loop_
_atom_site_label
_atom_site_type_symbol
_atom_site_fract_x
_atom_site_fract_y
_atom_site_fract_z
K1 K 0.500 0.500 0.500
F1 F 0.500 0.000 0.000
F2 F 0.000 0.500 0.000
N1 N 0.000 0.000 0.500
Te1 Te 0.000 0.000 0.000
```

---

Entry 2:
Material: KTeN2F
Method: DFT, PBE
State: optimized geometry

The value obtained for the formation energy (no corrections) is 1.863 eV/atom. The calculated volume is 194.7 Å³ per cell. The space group is P4/mmm (123). As for the magnetic moment: 8.0 μB/cell.

Structure (CIF):
```
data_KTeN2F
_cell_length_a 5.271
_cell_length_b 5.271
_cell_length_c 7.005
_cell_angle_alpha 90.00
_cell_angle_beta 90.00
_cell_angle_gamma 90.00
_space_group_name_H-M_alt 'P 1'
_space_group_IT_number 1
loop_
_space_group_symop_operation_xyz
'x,y,z'
loop_
_atom_site_label
_atom_site_type_symbol
_atom_site_fract_x
_atom_site_fract_y
_atom_site_fract_z
Te1 Te 0.000 0.000 0.500
K1 K 0.000 0.000 0.000
N1 N 0.500 0.000 0.000
N2 N 0.000 0.500 0.000
F1 F 0.500 0.500 0.500
```

---

Entry 3:
Material: KTe2NF
Method: DFT, PBE
State: optimized geometry

The value obtained for the formation energy (no corrections) is 1.635 eV/atom. The calculated volume is 161.4 Å³ per cell. The space group is P4/mmm (123). As for the magnetic moment: 0.3 μB/cell.

Structure (CIF):
```
data_KTe2NF
_cell_length_a 6.040
_cell_length_b 6.040
_cell_length_c 4.426
_cell_angle_alpha 90.00
_cell_angle_beta 90.00
_cell_angle_gamma 90.00
_space_group_name_H-M_alt 'P 1'
_space_group_IT_number 1
loop_
_space_group_symop_operation_xyz
'x,y,z'
loop_
_atom_site_label
_atom_site_type_symbol
_atom_site_fract_x
_atom_site_fract_y
_atom_site_fract_z
N1 N 0.000 0.000 0.500
F1 F 0.500 0.500 0.500
Te1 Te 0.000 0.500 0.000
Te2 Te 0.500 0.000 0.000
K1 K 0.000 0.000 0.000
```

---

Entry 4:
Material: KTeNF2
Method: DFT, PBE
State: optimized geometry

The value obtained for the formation energy (no corrections) is 0.186 eV/atom. The calculated volume is 115.6 Å³ per cell. The space group is P4/mmm (123). As for the magnetic moment: 0.0 μB/cell.

Structure (CIF):
```
data_KTeNF2
_cell_length_a 4.771
_cell_length_b 4.771
_cell_length_c 5.078
_cell_angle_alpha 90.00
_cell_angle_beta 90.00
_cell_angle_gamma 90.00
_space_group_name_H-M_alt 'P 1'
_space_group_IT_number 1
loop_
_space_group_symop_operation_xyz
'x,y,z'
loop_
_atom_site_label
_atom_site_type_symbol
_atom_site_fract_x
_atom_site_fract_y
_atom_site_fract_z
K1 K 0.000 0.000 0.000
F1 F 0.500 0.000 0.000
F2 F 0.000 0.500 0.000
Te1 Te 0.500 0.500 0.500
N1 N 0.000 0.000 0.500
```

---

Entry 5:
Material: KTeN2F
Method: DFT, PBE
State: optimized geometry

The value obtained for the formation energy (no corrections) is 1.276 eV/atom. The calculated volume is 123.7 Å³ per cell. The space group is P4/mmm (123). As for the magnetic moment: 5.8 μB/cell.

Structure (CIF):
```
data_KTeN2F
_cell_length_a 5.330
_cell_length_b 5.330
_cell_length_c 4.354
_cell_angle_alpha 90.00
_cell_angle_beta 90.00
_cell_angle_gamma 90.00
_space_group_name_H-M_alt 'P 1'
_space_group_IT_number 1
loop_
_space_group_symop_operation_xyz
'x,y,z'
loop_
_atom_site_label
_atom_site_type_symbol
_atom_site_fract_x
_atom_site_fract_y
_atom_site_fract_z
K1 K 0.500 0.500 0.500
N1 N 0.500 0.000 0.000
N2 N 0.000 0.500 0.000
F1 F 0.000 0.000 0.000
Te1 Te 0.000 0.000 0.500
```

---

Entry 6:
Material: KTiNF2
Method: DFT, PBE
State: optimized geometry

The value obtained for the formation energy (no corrections) is 0.032 eV/atom. The calculated volume is 98.1 Å³ per cell. The space group is P4/mmm (123). As for the magnetic moment: 0.0 μB/cell.

Structure (CIF):
```
data_KTiNF2
_cell_length_a 4.510
_cell_length_b 4.510
_cell_length_c 4.820
_cell_angle_alpha 90.00
_cell_angle_beta 90.00
_cell_angle_gamma 90.00
_space_group_name_H-M_alt 'P 1'
_space_group_IT_number 1
loop_
_space_group_symop_operation_xyz
'x,y,z'
loop_
_atom_site_label
_atom_site_type_symbol
_atom_site_fract_x
_atom_site_fract_y
_atom_site_fract_z
F1 F 0.500 0.000 0.000
F2 F 0.000 0.500 0.000
Ti1 Ti 0.500 0.500 0.500
N1 N 0.000 0.000 0.500
K1 K 0.000 0.000 0.000
```

---

Entry 7:
Material: KTi2NF
Method: DFT, PBE
State: optimized geometry

The value obtained for the formation energy (no corrections) is 0.413 eV/atom. The calculated volume is 90.4 Å³ per cell. The space group is P4/mmm (123). As for the magnetic moment: 2.2 μB/cell.

Structure (CIF):
```
data_KTi2NF
_cell_length_a 4.094
_cell_length_b 5.391
_cell_length_c 4.094
_cell_angle_alpha 90.00
_cell_angle_beta 90.00
_cell_angle_gamma 90.00
_space_group_name_H-M_alt 'P 1'
_space_group_IT_number 1
loop_
_space_group_symop_operation_xyz
'x,y,z'
loop_
_atom_site_label
_atom_site_type_symbol
_atom_site_fract_x
_atom_site_fract_y
_atom_site_fract_z
Ti1 Ti 0.000 0.000 0.500
Ti2 Ti 0.500 0.000 0.000
F1 F 0.000 0.000 0.000
N1 N 0.000 0.500 0.000
K1 K 0.500 0.500 0.500
```

---

Entry 8:
Material: KTiNF2
Method: DFT, PBE
State: optimized geometry

The value obtained for the formation energy (no corrections) is -2.134 eV/atom. The calculated volume is 67.9 Å³ per cell. The space group is P4/mmm (123). As for the magnetic moment: 0.0 μB/cell.

Structure (CIF):
```
data_KTiNF2
_cell_length_a 4.199
_cell_length_b 4.199
_cell_length_c 3.853
_cell_angle_alpha 90.00
_cell_angle_beta 90.00
_cell_angle_gamma 90.00
_space_group_name_H-M_alt 'P 1'
_space_group_IT_number 1
loop_
_space_group_symop_operation_xyz
'x,y,z'
loop_
_atom_site_label
_atom_site_type_symbol
_atom_site_fract_x
_atom_site_fract_y
_atom_site_fract_z
K1 K 0.500 0.500 0.500
F1 F 0.000 0.500 0.000
F2 F 0.500 0.000 0.000
Ti1 Ti 0.000 0.000 0.000
N1 N 0.000 0.000 0.500
```

---

Entry 9:
Material: KTlNF2
Method: DFT, PBE
State: optimized geometry

The value obtained for the formation energy (no corrections) is -0.406 eV/atom. The calculated volume is 109.1 Å³ per cell. The space group is P4/mmm (123). As for the magnetic moment: 1.7 μB/cell.

Structure (CIF):
```
data_KTlNF2
_cell_length_a 5.129
_cell_length_b 4.146
_cell_length_c 5.129
_cell_angle_alpha 90.00
_cell_angle_beta 90.00
_cell_angle_gamma 90.00
_space_group_name_H-M_alt 'P 1'
_space_group_IT_number 1
loop_
_space_group_symop_operation_xyz
'x,y,z'
loop_
_atom_site_label
_atom_site_type_symbol
_atom_site_fract_x
_atom_site_fract_y
_atom_site_fract_z
Tl1 Tl 0.000 0.500 0.000
N1 N 0.000 0.000 0.000
K1 K 0.500 0.500 0.500
F1 F 0.500 0.000 0.000
F2 F 0.000 0.000 0.500
```

---

Entry 10:
Material: KTlNF2
Method: DFT, PBE
State: optimized geometry

The value obtained for the formation energy (no corrections) is -0.899 eV/atom. The calculated volume is 94.0 Å³ per cell. The space group is P4/mmm (123). As for the magnetic moment: 1.0 μB/cell.

Structure (CIF):
```
data_KTlNF2
_cell_length_a 4.781
_cell_length_b 4.781
_cell_length_c 4.114
_cell_angle_alpha 90.00
_cell_angle_beta 90.00
_cell_angle_gamma 90.00
_space_group_name_H-M_alt 'P 1'
_space_group_IT_number 1
loop_
_space_group_symop_operation_xyz
'x,y,z'
loop_
_atom_site_label
_atom_site_type_symbol
_atom_site_fract_x
_atom_site_fract_y
_atom_site_fract_z
F1 F 0.000 0.500 0.000
F2 F 0.500 0.000 0.000
K1 K 0.500 0.500 0.500
N1 N 0.000 0.000 0.500
Tl1 Tl 0.000 0.000 0.000
```

---

Entry 11:
Material: KTlNF2
Method: DFT, PBE
State: optimized geometry

The value obtained for the formation energy (no corrections) is -0.415 eV/atom. The calculated volume is 125.4 Å³ per cell. The space group is P4/mmm (123). As for the magnetic moment: 3.1 μB/cell.

Structure (CIF):
```
data_KTlNF2
_cell_length_a 4.983
_cell_length_b 4.983
_cell_length_c 5.051
_cell_angle_alpha 90.00
_cell_angle_beta 90.00
_cell_angle_gamma 90.00
_space_group_name_H-M_alt 'P 1'
_space_group_IT_number 1
loop_
_space_group_symop_operation_xyz
'x,y,z'
loop_
_atom_site_label
_atom_site_type_symbol
_atom_site_fract_x
_atom_site_fract_y
_atom_site_fract_z
K1 K 0.000 0.000 0.000
N1 N 0.000 0.000 0.500
Tl1 Tl 0.500 0.500 0.500
F1 F 0.000 0.500 0.000
F2 F 0.500 0.000 0.000
```